# 1
The following is a DFT calculation (PBE) of CrHg2Pb after structural relaxation.

The volume is 25.35 Å³ per atom. The energy of formation from the pure elements is 40 kJ/mol of atoms. The calculation puts the density of states at the Fermi level at 0.469 states/eV/atom.

POSCAR file:
```
CrHg2Pb
1.0
-4.1110 4.1110 2.9999
4.1110 -4.1110 2.9999
4.1110 4.1110 -2.9999
Cr Hg Pb
2 4 2
Cartesian
0.0000 0.0000 0.0000 Cr
0.0000 4.1110 1.4999 Cr
6.1665 1.7611 -0.7500 Hg
1.7611 2.0555 0.7500 Hg
-2.0555 2.3499 2.2499 Hg
2.3499 2.0555 3.7498 Hg
4.1110 0.0000 1.4999 Pb
0.0000 0.0000 2.9999 Pb
```

# 2
The following is a DFT calculation (PBE) of TlAgHg2Te after structural relaxation.

The volume is 33.68 Å³ per atom. The energy relative to the elements, uncorrected is 0.029 eV/atom. The calculation puts the density of states at the Fermi level at 0.190 states/eV/atom.

POSCAR file:
```
TlAgHg2Te
1.0
5.4844 0.0000 0.0000
0.0000 5.4844 0.0000
0.0000 0.0000 5.5988
Tl Ag Hg Te
1 1 2 1
Cartesian
0.0000 0.0000 0.0000 Tl
2.7422 2.7422 2.7994 Ag
0.0000 2.7422 2.7994 Hg
2.7422 0.0000 2.7994 Hg
2.7422 2.7422 0.0000 Te
```